A PBEsol-optimized structure of Li2ZnRh. Source: Alexandria, functional meta-GGA SCAN.

Unit cell a=4.1793 b=4.1793 c=5.9295 alpha=90.00 beta=90.00 gamma=90.00
With the nearest neighbours (Å) after each atom.
Space group I-4m2 (No. 119)
One atom of each set of equivalent atoms:
Li: 0.0000 0.0000 0.0000 x2  4 Li 2.56, 4 Rh 2.56
Li: 0.0000 0.5000 0.2500 x2  4 Li 2.56, 4 Zn 2.56
Zn: 0.0000 0.0000 0.5000 x2  4 Li 2.56, 4 Rh 2.56
Rh: 0.0000 0.5000 0.7500 x2  4 Li 2.56, 4 Zn 2.56

## Properties
V   103.6 Å³/cell
Formation energy   -31 kJ/mol of atoms


A PBEsol-optimized structure of Li2ZnRh. Source: Alexandria, functional meta-GGA SCAN.

Unit cell a=3.1105 b=3.1105 c=5.7075 alpha=90.00 beta=90.00 gamma=90.00
With the nearest neighbours (Å) after each atom.
Space group P4mm (No. 99)
One atom of each set of equivalent atoms:
Li: 0.0000 0.0000 0.0000 x1  4 Zn 2.69, 4 Li 2.72, 2 Rh 2.77-2.93
Li: 0.5000 0.5000 0.2811 x1  1 Zn 2.56, 4 Rh 2.57, 4 Li 2.72
Zn: 0.5000 0.5000 0.7301 x1  4 Rh 2.52, 5 Li 2.56-2.69
Rh: 0.0000 0.0000 0.5141 x1  4 Zn 2.52, 5 Li 2.57-2.77

## Properties
V   55.2 Å³/cell
Formation energy   -24 kJ/mol of atoms


A PBEsol-optimized structure of Li2ZnRh. Source: Alexandria, functional meta-GGA SCAN.

Unit cell a=3.6011 b=3.6011 c=4.0038 alpha=90.00 beta=90.00 gamma=90.00
With the nearest neighbours (Å) after each atom.
Space group P4/mmm (No. 123)
One atom of each set of equivalent atoms:
Li: 0.0000 0.5000 0.0000 x2  4 Li 2.55, 4 Rh 2.69, 4 Zn 2.69
Zn: 0.0000 0.0000 0.5000 x1  4 Rh 2.55, 8 Li 2.69
Rh: 0.5000 0.5000 0.5000 x1  4 Zn 2.55, 8 Li 2.69

## Properties
V   51.9 Å³/cell
Formation energy   -29 kJ/mol of atoms


A PBEsol-optimized structure of Li2ZnRh. Source: Alexandria, functional meta-GGA SCAN.

Unit cell a=3.6201 b=3.6201 c=7.9136 alpha=90.00 beta=90.00 gamma=90.00
With the nearest neighbours (Å) after each atom.
Space group I4/mmm (No. 139)
One atom of each set of equivalent atoms:
Li: 0.0000 0.5000 0.2500 x4  4 Li 2.56, 4 Rh 2.68, 4 Zn 2.68
Zn: 0.0000 0.0000 0.0000 x2  4 Rh 2.56, 8 Li 2.68
Rh: 0.0000 0.0000 0.5000 x2  4 Zn 2.56, 8 Li 2.68

## Properties
V   103.7 Å³/cell
Formation energy   -28 kJ/mol of atoms


A PBEsol-optimized structure of Li2ZnRh. Source: Alexandria, functional meta-GGA SCAN.

Unit cell a=3.0724 b=4.0467 c=4.1835 alpha=90.00 beta=90.00 gamma=90.00
With the nearest neighbours (Å) after each atom.
Space group Pmmm (No. 47)
One atom of each set of equivalent atoms:
Li: 0.0000 0.0000 0.0000 x1  4 Li 2.54, 4 Rh 2.60
Li: 0.5000 0.5000 0.0000 x1  4 Li 2.54, 4 Zn 2.60
Zn: 0.0000 0.5000 0.5000 x1  4 Rh 2.54, 4 Li 2.60
Rh: 0.5000 0.0000 0.5000 x1  4 Zn 2.54, 4 Li 2.60

## Properties
V   52.0 Å³/cell
Formation energy   -33 kJ/mol of atoms


A PBEsol-optimized structure of LiZn2Rh2. Source: Alexandria, functional meta-GGA SCAN.

Unit cell a=6.9780 b=6.9780 c=2.9497 alpha=90.00 beta=90.00 gamma=90.00
With the nearest neighbours (Å) after each atom.
Space group P4/mbm (No. 127)
One atom of each set of equivalent atoms:
Li: 0.0000 0.0000 0.0000 x2  4 Rh 2.71, 2 Li 2.95, 8 Zn 3.00
Zn: 0.1622 0.3378 0.5000 x4  6 Rh 2.48-2.55
Rh: 0.1352 0.6352 0.0000 x4  6 Zn 2.48-2.55, 1 Rh 2.67, 2 Li 2.71

## Properties
V   143.6 Å³/cell
Formation energy   -27 kJ/mol of atoms


A PBEsol-optimized structure of Li2ZnRh. Source: Alexandria, functional meta-GGA SCAN.

Unit cell a=5.0301 b=8.7720 c=2.7980 alpha=90.00 beta=120.34 gamma=90.00
With the nearest neighbours (Å) after each atom.
Space group C2/m (No. 12)
One atom of each set of equivalent atoms:
Li: 0.2500 0.2500 0.0000 x4  6 Li 2.52-2.80, 2 Rh 2.56, 2 Zn 2.56
Zn: 0.0000 0.0000 0.5000 x2  4 Rh 2.52-2.65, 4 Li 2.56, 2 Zn 2.80
Rh: 0.0000 0.5000 0.5000 x2  4 Zn 2.52-2.65, 4 Li 2.56, 2 Rh 2.80

## Properties
V   106.5 Å³/cell
Formation energy   -26 kJ/mol of atoms


A PBEsol-optimized structure of Li2ZnRh. Source: Alexandria, functional meta-GGA SCAN.

Unit cell a=2.7953 b=4.4022 c=4.3547 alpha=90.00 beta=93.26 gamma=90.00
With the nearest neighbours (Å) after each atom.
Space group P2/m (No. 10)
One atom of each set of equivalent atoms:
Li: 0.2418 0.0000 0.2333 x2  2 Li 2.38-2.56, 2 Rh 2.55, 2 Zn 2.60
Zn: 0.0000 0.5000 0.5000 x1  4 Rh 2.52-2.65, 4 Li 2.60, 2 Zn 2.80
Rh: 0.5000 0.5000 0.0000 x1  4 Zn 2.52-2.65, 4 Li 2.55, 2 Rh 2.80

## Properties
V   53.5 Å³/cell
Formation energy   -26 kJ/mol of atoms


Number 1: VASP energy -13.3421 eV per atom. Number 2: VASP energy -13.2668 eV per atom. Number 3: VASP energy -13.3222 eV per atom. Number 4: VASP energy -13.3111 eV per atom. Number 5: VASP energy -13.3589 eV per atom. Number 6: VASP energy -19.6711 eV per atom. Number 7: VASP energy -13.2852 eV per atom. Number 8: VASP energy -13.2855 eV per atom.